DFT (PBE-GGA) results for an optimized crystal structure of Cs3YTc.

```
5
Lattice="-2.537 5.572 -0.857 -3.574 -0.863 4.970 4.360 2.535 3.575" Properties=species:S:1:pos:R:3 pbc="T T T"
Tc 0.000 0.000 0.000
Cs 2.180 1.268 1.788
Y -0.876 3.622 3.844
Cs -1.269 2.786 -0.428
Cs -1.787 -0.432 2.485
```

Output
For the total DFT energy (no corrections), the calculation gives -2.29 eV/atom. The spin magnetization comes out at 0.1 μB per formula unit. The formation enthalpy at 0 K comes out at 1.59 eV/atom. The space group is No. 221.